First-principles (PBE with a Hubbard U) data for Li3Mn3P4O16 after structural relaxation, as listed in Alexandria via LeMat-Bulk.

```
Li3Mn3P4O16
1.0
-6.682 9.493 -1.037
-4.848 -3.540 -1.164
-2.943 -1.212 7.868
Li Mn P O
6 6 8 32
Direct
0.118 0.293 0.255
0.419 0.876 0.000
0.618 0.707 0.745
0.919 0.124 0.000
0.126 0.378 0.913
0.626 0.622 0.087
0.806 0.380 0.663
0.410 0.391 0.714
0.910 0.609 0.286
0.081 0.929 0.712
0.306 0.620 0.337
0.581 0.071 0.288
0.879 0.639 0.920
0.642 0.127 0.920
0.081 0.461 0.589
0.581 0.539 0.411
0.142 0.873 0.080
0.379 0.361 0.080
0.906 0.084 0.413
0.406 0.916 0.587
0.124 0.634 0.685
0.764 0.156 0.840
0.283 0.386 0.208
0.520 0.999 0.505
0.093 0.103 0.088
0.453 0.481 0.474
0.579 0.756 0.283
0.264 0.844 0.160
0.939 0.864 0.865
0.661 0.556 0.550
0.435 0.707 0.719
0.065 0.683 0.165
0.935 0.293 0.281
0.020 0.001 0.495
0.783 0.614 0.792
0.439 0.136 0.135
0.814 0.147 0.529
0.172 0.854 0.904
0.953 0.519 0.526
0.817 0.646 0.085
0.565 0.317 0.835
0.593 0.897 0.912
0.314 0.853 0.471
0.317 0.354 0.915
0.858 0.903 0.323
0.672 0.146 0.096
0.957 0.438 0.928
0.358 0.097 0.677
0.161 0.444 0.450
0.624 0.366 0.315
0.457 0.562 0.072
0.079 0.244 0.717
```

Results
The total magnetization is 11.986 μB per formula unit. For the total energy, the calculation gives -7.036 eV per atom. The volume comes out at 11.440 Å³ per atom.